VASP calculation (PBE-GGA) on an optimized crystal structure of Sc3Ta.

Cell: 5.388 5.388 5.581 Å, 98.45 98.45 33.27°
Atoms (fractional coordinates):
Sc  0.000  0.000  0.000
Sc  0.244  0.244  0.734
Sc  0.756  0.756  0.266
Ta  0.500  0.500  0.500

ΔE_f, eV per atom: 0.158
Energy above the most stable polymorph in this dataset, meV per atom: 46
Total DFT energy (no corrections), eV/cell: -30.216
Crystal system: monoclinic

***

VASP calculation (PBE-GGA) on an optimized crystal structure of LiTa2HIr.

Cell: 4.113 4.113 3.826 Å, 90.00 90.00 90.00°
Atoms (fractional coordinates):
Li  0.000  0.000  0.000
Ta  0.000  0.500  0.500
Ta  0.500  0.000  0.500
H  0.000  0.000  0.500
Ir  0.500  0.500  0.000

Total DFT energy (no corrections), eV/cell: -38.647
Crystal system: tetragonal

***

VASP calculation (PBE-GGA) on an optimized crystal structure of Pm2Dy7Th.

Cell: 10.326 10.326 10.326 Å, 159.99 111.09 72.57°
Atoms (fractional coordinates):
Pm  0.169  0.169  0.000
Pm  0.831  0.831  0.000
Dy  0.101  0.348  0.752
Dy  0.334  0.834  0.500
Dy  0.404  0.652  0.752
Dy  0.500  0.500  0.000
Dy  0.596  0.348  0.248
Dy  0.666  0.166  0.500
Dy  0.899  0.652  0.248
Th  0.000  0.500  0.500

ΔE_f, eV per atom: 0.345
Energy above the most stable polymorph in this dataset, meV per atom: 180
Total DFT energy (no corrections), eV/cell: -45.688
Crystal system: orthorhombic

***

VASP calculation (PBE-GGA) on an optimized crystal structure of ZnSb.

Cell: 8.321 8.321 8.321 Å, 93.71 93.71 150.51°
Atoms (fractional coordinates):
Zn  0.105  0.275  0.380
Zn  0.275  0.895  0.169
Zn  0.725  0.105  0.831
Zn  0.895  0.725  0.620
Sb  0.125  0.710  0.835
Sb  0.290  0.125  0.414
Sb  0.710  0.875  0.586
Sb  0.875  0.290  0.165

Total DFT energy (no corrections), eV/cell: -19.764
Crystal system: tetragonal
Uncorrected formation energy, eV per atom: 0.23

***

V, respectively: 21.96, 12.95, 34.89, 34.28 Å³/atom.